Entry 1:
Below is an optimized crystal structure of Mg5Os, with properties calculated at the PBE level.

```
data_Mg5Os
_space_group_name_H-M_alt 'P 1'
_space_group_IT_number 1
_space_group_name_Hall 'P 1'
_cell_length_a 5.608
_cell_length_b 5.608
_cell_length_c 6.763
_cell_angle_alpha 107.73
_cell_angle_beta 107.73
_cell_angle_gamma 35.37
loop_
_atom_site_label
_atom_site_type_symbol
_atom_site_fract_x
_atom_site_fract_y
_atom_site_fract_z
Mg1 Mg 0.000 0.000 0.000
Mg2 Mg 0.005 0.005 0.440
Mg3 Mg 0.304 0.304 0.150
Mg4 Mg 0.312 0.312 0.593
Mg5 Mg 0.655 0.655 0.793
Os1 Os 0.656 0.656 0.298
```

## Properties
* E above lowest polymorph: 1 kJ/mol of formula units
* space group: Cm
* E_form: 0.658 eV per formula unit

Entry 2:
Below is an optimized crystal structure of LaTbIn, with properties calculated at the PBE level.

```
data_LaTbIn
_space_group_name_H-M_alt 'P 1'
_space_group_IT_number 1
_space_group_name_Hall 'P 1'
_cell_length_a 4.834
_cell_length_b 4.832
_cell_length_c 8.418
_cell_angle_alpha 90.00
_cell_angle_beta 90.14
_cell_angle_gamma 90.00
loop_
_atom_site_label
_atom_site_type_symbol
_atom_site_fract_x
_atom_site_fract_y
_atom_site_fract_z
La1 La 0.249 0.250 0.149
La2 La 0.751 0.750 0.851
Tb1 Tb 0.250 0.750 0.500
Tb2 Tb 0.750 0.250 0.500
In1 In 0.251 0.250 0.757
In2 In 0.749 0.750 0.243
```

## Properties
* E above lowest polymorph: 9 kJ/mol of formula units
* space group: P2_1/m
* E_form: -0.949 eV per formula unit

Entry 3:
Below is an optimized crystal structure of LiFeReTc, with properties calculated at the PBE level.

```
data_LiFeReTc
_space_group_name_H-M_alt 'P 1'
_space_group_IT_number 1
_space_group_name_Hall 'P 1'
_cell_length_a 4.179
_cell_length_b 4.179
_cell_length_c 4.179
_cell_angle_alpha 60.00
_cell_angle_beta 60.00
_cell_angle_gamma 60.00
loop_
_atom_site_label
_atom_site_type_symbol
_atom_site_fract_x
_atom_site_fract_y
_atom_site_fract_z
Li1 Li 0.000 0.000 0.000
Fe1 Fe 0.750 0.750 0.750
Re1 Re 0.500 0.500 0.500
Tc1 Tc 0.250 0.250 0.250
```

## Properties
* space group: F-43m
* E_form: 0.654 eV per formula unit

Entry 4:
Below is an optimized crystal structure of Tc3P, with properties calculated at the PBE level.

```
data_Tc3P
_space_group_name_H-M_alt 'P 1'
_space_group_IT_number 1
_space_group_name_Hall 'P 1'
_cell_length_a 4.281
_cell_length_b 4.281
_cell_length_c 4.281
_cell_angle_alpha 60.00
_cell_angle_beta 60.00
_cell_angle_gamma 60.00
loop_
_atom_site_label
_atom_site_type_symbol
_atom_site_fract_x
_atom_site_fract_y
_atom_site_fract_z
Tc1 Tc 0.000 0.000 0.000
Tc2 Tc 0.250 0.250 0.250
Tc3 Tc 0.750 0.750 0.750
P1 P 0.500 0.500 0.500
```

## Properties
* E above lowest polymorph: 155 kJ/mol of formula units
* space group: Fm-3m
* E_form: 0.252 eV per formula unit

Entry 5:
Below is an optimized crystal structure of LaPr2Tc2N6, with properties calculated at the PBE level.

```
data_LaPr2Tc2N6
_space_group_name_H-M_alt 'P 1'
_space_group_IT_number 1
_space_group_name_Hall 'P 1'
_cell_length_a 7.044
_cell_length_b 7.044
_cell_length_c 7.044
_cell_angle_alpha 49.07
_cell_angle_beta 49.07
_cell_angle_gamma 49.07
loop_
_atom_site_label
_atom_site_type_symbol
_atom_site_fract_x
_atom_site_fract_y
_atom_site_fract_z
La1 La 0.000 0.000 0.000
Pr1 Pr 0.208 0.208 0.208
Pr2 Pr 0.792 0.792 0.792
Tc1 Tc 0.407 0.407 0.407
Tc2 Tc 0.593 0.593 0.593
N1 N 0.226 0.737 0.737
N2 N 0.263 0.263 0.774
N3 N 0.263 0.774 0.263
N4 N 0.737 0.226 0.737
N5 N 0.737 0.737 0.226
N6 N 0.774 0.263 0.263
```

## Properties
* space group: R-3m
* energy relative to the elements, uncorrected: -0.60 eV per atom

Entry 6:
Below is an optimized crystal structure of InFe3Ir, with properties calculated at the PBE level.

```
data_InFe3Ir
_space_group_name_H-M_alt 'P 1'
_space_group_IT_number 1
_space_group_name_Hall 'P 1'
_cell_length_a 4.689
_cell_length_b 4.689
_cell_length_c 4.689
_cell_angle_alpha 90.00
_cell_angle_beta 90.00
_cell_angle_gamma 90.00
loop_
_atom_site_label
_atom_site_type_symbol
_atom_site_fract_x
_atom_site_fract_y
_atom_site_fract_z
In1 In 0.000 0.000 0.000
Fe1 Fe 0.000 0.500 0.500
Fe2 Fe 0.500 0.000 0.500
Fe3 Fe 0.500 0.500 0.000
Ir1 Ir 0.500 0.500 0.500
```

## Properties
* E above lowest polymorph: 0 kJ/mol of formula units
* space group: Pm-3m
* E_form: 5.054 eV per formula unit

Entry 7:
Below is an optimized crystal structure of MgZr2Te6, with properties calculated at the PBE level.

```
data_MgZr2Te6
_space_group_name_H-M_alt 'P 1'
_space_group_IT_number 1
_space_group_name_Hall 'P 1'
_cell_length_a 6.944
_cell_length_b 6.944
_cell_length_c 12.435
_cell_angle_alpha 90.00
_cell_angle_beta 90.00
_cell_angle_gamma 90.00
loop_
_atom_site_label
_atom_site_type_symbol
_atom_site_fract_x
_atom_site_fract_y
_atom_site_fract_z
Mg1 Mg 0.000 0.000 0.000
Mg2 Mg 0.500 0.500 0.500
Zr1 Zr 0.000 0.000 0.340
Zr2 Zr 0.000 0.000 0.660
Zr3 Zr 0.500 0.500 0.160
Zr4 Zr 0.500 0.500 0.840
Te1 Te 0.205 0.205 0.173
Te2 Te 0.205 0.205 0.827
Te3 Te 0.207 0.207 0.500
Te4 Te 0.293 0.707 0.000
Te5 Te 0.295 0.705 0.327
Te6 Te 0.295 0.705 0.673
Te7 Te 0.705 0.295 0.327
Te8 Te 0.705 0.295 0.673
Te9 Te 0.707 0.293 0.000
Te10 Te 0.793 0.793 0.500
Te11 Te 0.795 0.795 0.173
Te12 Te 0.795 0.795 0.827
```

## Properties
* space group: P4_2/mnm
* energy relative to the elements, uncorrected: -0.57 eV per atom

Entry 8:
Below is an optimized crystal structure of HoBi2Se4, with properties calculated at the PBE level.

```
data_HoBi2Se4
_space_group_name_H-M_alt 'P 1'
_space_group_IT_number 1
_space_group_name_Hall 'P 1'
_cell_length_a 7.746
_cell_length_b 7.746
_cell_length_c 13.749
_cell_angle_alpha 90.00
_cell_angle_beta 90.00
_cell_angle_gamma 150.98
loop_
_atom_site_label
_atom_site_type_symbol
_atom_site_fract_x
_atom_site_fract_y
_atom_site_fract_z
Ho1 Ho 0.113 0.887 0.750
Ho2 Ho 0.887 0.113 0.250
Bi1 Bi 0.367 0.633 0.571
Bi2 Bi 0.367 0.633 0.929
Bi3 Bi 0.633 0.367 0.071
Bi4 Bi 0.633 0.367 0.429
Se1 Se 0.000 0.000 0.000
Se2 Se 0.000 0.000 0.500
Se3 Se 0.296 0.704 0.124
Se4 Se 0.296 0.704 0.376
Se5 Se 0.475 0.525 0.750
Se6 Se 0.525 0.475 0.250
Se7 Se 0.704 0.296 0.624
Se8 Se 0.704 0.296 0.876
```

## Properties
* space group: Cmcm
* energy relative to the elements, uncorrected: -0.77 eV per atom

Entry 9:
Below is an optimized crystal structure of TiBe5Cr, with properties calculated at the PBE level.

```
data_TiBe5Cr
_space_group_name_H-M_alt 'P 1'
_space_group_IT_number 1
_space_group_name_Hall 'P 1'
_cell_length_a 7.010
_cell_length_b 4.342
_cell_length_c 8.899
_cell_angle_alpha 90.00
_cell_angle_beta 90.00
_cell_angle_gamma 90.00
loop_
_atom_site_label
_atom_site_type_symbol
_atom_site_fract_x
_atom_site_fract_y
_atom_site_fract_z
Ti1 Ti 0.243 0.250 0.068
Ti2 Ti 0.257 0.750 0.568
Ti3 Ti 0.743 0.250 0.432
Ti4 Ti 0.757 0.750 0.932
Be1 Be 0.062 0.750 0.114
Be2 Be 0.076 0.009 0.317
Be3 Be 0.076 0.491 0.317
Be4 Be 0.093 0.250 0.519
Be5 Be 0.178 0.250 0.752
Be6 Be 0.322 0.750 0.252
Be7 Be 0.407 0.750 0.019
Be8 Be 0.424 0.509 0.817
Be9 Be 0.424 0.991 0.817
Be10 Be 0.438 0.250 0.614
Be11 Be 0.562 0.750 0.386
Be12 Be 0.576 0.009 0.183
Be13 Be 0.576 0.491 0.183
Be14 Be 0.593 0.250 0.981
Be15 Be 0.678 0.250 0.748
Be16 Be 0.822 0.750 0.248
Be17 Be 0.907 0.750 0.481
Be18 Be 0.924 0.509 0.683
Be19 Be 0.924 0.991 0.683
Be20 Be 0.938 0.250 0.886
Cr1 Cr 0.116 0.750 0.872
Cr2 Cr 0.384 0.250 0.372
Cr3 Cr 0.616 0.750 0.628
Cr4 Cr 0.884 0.250 0.128
```

## Properties
* space group: Pnma
* E_form: -0.867 eV per formula unit

Entry 10:
Below is an optimized crystal structure of TiZn2Ru2, with properties calculated at the PBE level.

```
data_TiZn2Ru2
_space_group_name_H-M_alt 'P 1'
_space_group_IT_number 1
_space_group_name_Hall 'P 1'
_cell_length_a 6.785
_cell_length_b 6.785
_cell_length_c 3.156
_cell_angle_alpha 90.00
_cell_angle_beta 90.00
_cell_angle_gamma 90.00
loop_
_atom_site_label
_atom_site_type_symbol
_atom_site_fract_x
_atom_site_fract_y
_atom_site_fract_z
Ti1 Ti 0.000 0.000 0.000
Ti2 Ti 0.500 0.500 0.000
Zn1 Zn 0.125 0.375 0.000
Zn2 Zn 0.375 0.875 0.000
Zn3 Zn 0.625 0.125 0.000
Zn4 Zn 0.875 0.625 0.000
Ru1 Ru 0.175 0.675 0.500
Ru2 Ru 0.325 0.175 0.500
Ru3 Ru 0.675 0.825 0.500
Ru4 Ru 0.825 0.325 0.500
```

## Properties
* E above lowest polymorph: 0 kJ/mol of formula units
* space group: P4/mbm
* E_form: -0.474 eV per formula unit

Entry 11:
Below is an optimized crystal structure of Y2NCl, with properties calculated at the PBE level.

```
data_Y2NCl
_space_group_name_H-M_alt 'P 1'
_space_group_IT_number 1
_space_group_name_Hall 'P 1'
_cell_length_a 4.564
_cell_length_b 4.564
_cell_length_c 4.564
_cell_angle_alpha 60.00
_cell_angle_beta 60.00
_cell_angle_gamma 60.00
loop_
_atom_site_label
_atom_site_type_symbol
_atom_site_fract_x
_atom_site_fract_y
_atom_site_fract_z
Y1 Y 0.250 0.250 0.250
Y2 Y 0.750 0.750 0.750
N1 N 0.000 0.000 0.000
Cl1 Cl 0.500 0.500 0.500
```

## Properties
* space group: Fm-3m
* energy relative to the elements, uncorrected: -0.72 eV per atom

Entry 12:
Below is an optimized crystal structure of ZrReH, with properties calculated at the PBE level.

```
data_ZrReH
_space_group_name_H-M_alt 'P 1'
_space_group_IT_number 1
_space_group_name_Hall 'P 1'
_cell_length_a 4.791
_cell_length_b 4.791
_cell_length_c 4.791
_cell_angle_alpha 120.06
_cell_angle_beta 119.93
_cell_angle_gamma 90.01
loop_
_atom_site_label
_atom_site_type_symbol
_atom_site_fract_x
_atom_site_fract_y
_atom_site_fract_z
Zr1 Zr 0.007 0.250 0.257
Zr2 Zr 0.493 0.750 0.243
Re1 Re 0.250 0.982 0.732
Re2 Re 0.750 0.518 0.768
H1 H 0.567 0.317 0.250
H2 H 0.933 0.183 0.750
```

## Properties
* E above lowest polymorph: 0 kJ/mol of formula units
* space group: I2_12_12_1

Repeat the tenth record exactly.
Below is an optimized crystal structure of TiZn2Ru2, with properties calculated at the PBE level.

```
data_TiZn2Ru2
_space_group_name_H-M_alt 'P 1'
_space_group_IT_number 1
_space_group_name_Hall 'P 1'
_cell_length_a 6.785
_cell_length_b 6.785
_cell_length_c 3.156
_cell_angle_alpha 90.00
_cell_angle_beta 90.00
_cell_angle_gamma 90.00
loop_
_atom_site_label
_atom_site_type_symbol
_atom_site_fract_x
_atom_site_fract_y
_atom_site_fract_z
Ti1 Ti 0.000 0.000 0.000
Ti2 Ti 0.500 0.500 0.000
Zn1 Zn 0.125 0.375 0.000
Zn2 Zn 0.375 0.875 0.000
Zn3 Zn 0.625 0.125 0.000
Zn4 Zn 0.875 0.625 0.000
Ru1 Ru 0.175 0.675 0.500
Ru2 Ru 0.325 0.175 0.500
Ru3 Ru 0.675 0.825 0.500
Ru4 Ru 0.825 0.325 0.500
```

## Properties
* E above lowest polymorph: 0 kJ/mol of formula units
* space group: P4/mbm
* E_form: -0.474 eV per formula unit

- What is the formula in the seventh record?
  MgZr2Te6